(1)
# ErH3Rh PBE optimized geometry
# Fermi-level density of states, states/eV/atom: 0.032
# Total magnetic moment, μB per formula unit: 0.00
# E, eV/atom: -5.014
data_ErH3Rh
_cell_length_a 11.272
_cell_length_b 3.801
_cell_length_c 4.647
_cell_angle_alpha 90.00
_cell_angle_beta 90.94
_cell_angle_gamma 90.00
_space_group_name_H-M_alt 'C 1 m 1'
_space_group_IT_number 8
_space_group_name_Hall 'C -2y'
loop_
_atom_site_label
_atom_site_type_symbol
_atom_site_fract_x
_atom_site_fract_y
_atom_site_fract_z
_atom_site_occupancy
Er1 Er 0.000 0.000 0.000 1
Er2 Er 0.235 0.500 0.511 1
H1 H 0.059 0.500 0.754 1
H2 H 0.168 0.000 0.275 1
H3 H 0.177 0.000 0.752 1
H4 H 0.283 0.500 0.012 1
H5 H 0.430 0.000 0.150 1
H6 H 0.446 0.500 0.509 1
Rh1 Rh 0.277 0.000 0.020 1
Rh2 Rh 0.443 0.000 0.516 1

(2)
# Ti5Nb2AlOs2 PBE optimized geometry
# Energy of formation, eV/atom: -0.088
# Fermi-level density of states, states/eV/atom: 1.217
# Total magnetic moment, μB per formula unit: 0.00
# E, eV/atom: -8.669
data_Ti5Nb2AlOs2
_cell_length_a 10.584
_cell_length_b 10.584
_cell_length_c 3.106
_cell_angle_alpha 90.00
_cell_angle_beta 90.00
_cell_angle_gamma 90.00
_space_group_name_H-M_alt 'P 4/m b m'
_space_group_IT_number 127
_space_group_name_Hall '-P 4 2ab'
loop_
_atom_site_label
_atom_site_type_symbol
_atom_site_fract_x
_atom_site_fract_y
_atom_site_fract_z
_atom_site_occupancy
Ti1 Ti 0.000 0.500 0.000 1
Ti2 Ti 0.041 0.205 0.000 1
Nb1 Nb 0.178 0.678 0.500 1
Al1 Al 0.000 0.000 0.500 1
Os1 Os 0.138 0.362 0.500 1

(3)
# FeHS PBE optimized geometry
# Fermi-level density of states, states/eV/atom: 0.509
# Total magnetic moment, μB per formula unit: 0.50
# E, eV/atom: -5.356
data_FeHS
_cell_length_a 12.136
_cell_length_b 3.326
_cell_length_c 7.309
_cell_angle_alpha 90.00
_cell_angle_beta 119.19
_cell_angle_gamma 90.00
_space_group_name_H-M_alt 'C 1 2/m 1'
_space_group_IT_number 12
_space_group_name_Hall '-C 2y'
loop_
_atom_site_label
_atom_site_type_symbol
_atom_site_fract_x
_atom_site_fract_y
_atom_site_fract_z
_atom_site_occupancy
Fe1 Fe 0.082 0.000 0.208 1
Fe2 Fe 0.244 0.500 0.164 1
H1 H 0.114 0.500 0.241 1
H2 H 0.227 0.000 0.349 1
S1 S 0.094 0.000 0.512 1
S2 S 0.121 0.000 0.950 1

(4)
# LaSn PBE optimized geometry
# Energy of formation, eV/atom: -0.433
# Fermi-level density of states, states/eV/atom: 0.997
# Total magnetic moment, μB per formula unit: 0.13
# E, eV/atom: -4.898
data_LaSn
_cell_length_a 8.7091
_cell_length_b 8.7091
_cell_length_c 6.5528
_cell_angle_alpha 90.00
_cell_angle_beta 90.00
_cell_angle_gamma 120.00
_space_group_name_H-M_alt 'P 63/m'
_space_group_IT_number 176
_space_group_name_Hall '-P 6c'
loop_
_atom_site_label
_atom_site_type_symbol
_atom_site_fract_x
_atom_site_fract_y
_atom_site_fract_z
_atom_site_occupancy
La1 La 0.1110 0.7504 0.2500 1
Sn1 Sn 0.1400 0.6810 0.7500 1

(5)
# Zn2CdHgI PBE optimized geometry
# E_form (uncorrected), eV/atom: 0.23
# Fermi-level density of states, states/eV/atom: 0.377
# Total magnetic moment, μB per formula unit: 0.00
# E, eV/atom: -0.832
data_Zn2CdHgI
_cell_length_a 5.090
_cell_length_b 5.090
_cell_length_c 6.732
_cell_angle_alpha 90.00
_cell_angle_beta 90.00
_cell_angle_gamma 90.00
_space_group_name_H-M_alt 'P 4/m m m'
_space_group_IT_number 123
_space_group_name_Hall '-P 4 2'
loop_
_atom_site_label
_atom_site_type_symbol
_atom_site_fract_x
_atom_site_fract_y
_atom_site_fract_z
_atom_site_occupancy
Zn1 Zn 0.000 0.500 0.000 1
Cd1 Cd 0.000 0.000 0.500 1
Hg1 Hg 0.500 0.500 0.000 1
I1 I 0.500 0.500 0.500 1

(6)
# Pr2ThPt3 PBE optimized geometry
# Energy of formation, eV/atom: -1.122
# Fermi-level density of states, states/eV/atom: 0.316
# Total magnetic moment, μB per formula unit: 0.00
# E, eV/atom: -6.972
data_Pr2ThPt3
_cell_length_a 8.463
_cell_length_b 11.932
_cell_length_c 25.234
_cell_angle_alpha 90.00
_cell_angle_beta 90.00
_cell_angle_gamma 90.00
_space_group_name_H-M_alt 'F d d d'
_space_group_IT_number 70
loop_
_space_group_symop_operation_xyz
'x,y,z'
'-x,-y,-z'
'-x+1/4,-y+1/4,z'
'x+1/4,y+1/4,-z'
'x,-y+1/4,-z+1/4'
'-x,y+1/4,z+1/4'
'-x+1/4,y,-z+1/4'
'x+1/4,-y,z+1/4'
'x,y+1/2,z+1/2'
'-x,-y+1/2,-z+1/2'
'-x+1/4,-y+3/4,z+1/2'
'x+1/4,y+3/4,-z+1/2'
'x,-y+3/4,-z+3/4'
'-x,y+3/4,z+3/4'
'-x+1/4,y+1/2,-z+3/4'
'x+1/4,-y+1/2,z+3/4'
'x+1/2,y,z+1/2'
'-x+1/2,-y,-z+1/2'
'-x+3/4,-y+1/4,z+1/2'
'x+3/4,y+1/4,-z+1/2'
'x+1/2,-y+1/4,-z+3/4'
'-x+1/2,y+1/4,z+3/4'
'-x+3/4,y,-z+3/4'
'x+3/4,-y,z+3/4'
'x+1/2,y+1/2,z'
'-x+1/2,-y+1/2,-z'
'-x+3/4,-y+3/4,z'
'x+3/4,y+3/4,-z'
'x+1/2,-y+3/4,-z+1/4'
'-x+1/2,y+3/4,z+1/4'
'-x+3/4,y+1/2,-z+1/4'
'x+3/4,-y+1/2,z+1/4'
loop_
_atom_site_label
_atom_site_type_symbol
_atom_site_fract_x
_atom_site_fract_y
_atom_site_fract_z
_atom_site_occupancy
Pr1 Pr 0.125 0.125 0.042 1
Pr2 Pr 0.125 0.125 0.375 1
Th1 Th 0.125 0.125 0.541 1
Pt1 Pt 0.115 0.375 0.875 1
Pt2 Pt 0.121 0.370 0.710 1

Fermi-level density of states of number 3 (FeHS)?
0.509 states/eV/atom

What is the formula in the first record?
ErH3Rh

Which value of Fermi-level density of states does entry 4 give?
0.997 states/eV/atom